Density functional theory data (PBE) for BaAc2Ge4 after structural relaxation.

Cell: 10.3009 10.3009 10.3009 Å, 155.79 152.37 37.06°
Atoms (fractional coordinates):
Ba: 0.0000 0.0000 0.0000
Ac: 0.1805 0.6805 0.5000
Ac: 0.8195 0.3195 0.5000
Ge: 0.3486 0.8486 0.5000
Ge: 0.4302 0.4302 0.0000
Ge: 0.5698 0.5698 0.0000
Ge: 0.6514 0.1514 0.5000

Results
The formation energy from the elements comes out at -0.613 eV per atom. The crystal system is orthorhombic. The space group is Immm. The value obtained for the total moment is 0.00 μB per formula unit.

Density functional theory data (PBE) for CaOs2Ru after structural relaxation.

Cell: 2.7827 2.7827 8.5204 Å, 90.00 90.00 90.00°
Atoms (fractional coordinates):
Ca: 0.0000 0.0000 0.0000
Os: 0.5000 0.5000 0.2862
Os: 0.5000 0.5000 0.7138
Ru: 0.0000 0.0000 0.5000

Results
The formation energy from the elements comes out at 0.436 eV per atom. The crystal system is tetragonal. The space group is P4/mmm. The value obtained for the total moment is 0.00 μB per formula unit.

Density functional theory data (PBE) for Er3SiSe6 after structural relaxation.

Cell: 8.8428 8.8428 6.7563 Å, 90.00 90.00 102.32°
Atoms (fractional coordinates):
Er: 0.0959 0.9041 0.5000
Er: 0.2198 0.4143 0.4050
Er: 0.4143 0.2198 0.9050
Er: 0.5857 0.7802 0.4050
Er: 0.7802 0.5857 0.9050
Er: 0.9041 0.0959 0.0000
Si: 0.2969 0.7031 0.8606
Si: 0.7031 0.2969 0.3606
Se: 0.0644 0.5996 0.6849
Se: 0.1282 0.1965 0.7030
Se: 0.1965 0.1282 0.2030
Se: 0.2838 0.7162 0.2248
Se: 0.4004 0.9356 0.6849
Se: 0.4590 0.5410 0.7215
Se: 0.5410 0.4590 0.2215
Se: 0.5996 0.0644 0.1849
Se: 0.7162 0.2838 0.7248
Se: 0.8035 0.8718 0.7030
Se: 0.8718 0.8035 0.2030
Se: 0.9356 0.4004 0.1849

Results
The crystal system is orthorhombic. Its energy relative to the elements, uncorrected is -1.3820 eV/atom. The space group is Cmc2_1. The value obtained for the total moment is 0.00 μB per formula unit.

Density functional theory data (PBE) for Sc2HgSe after structural relaxation.

Cell: 7.9065 7.9065 7.9065 Å, 26.88 26.88 26.88°
Atoms (fractional coordinates):
Sc: 0.0000 0.0000 0.0000
Sc: 0.1877 0.1877 0.1877
Hg: 0.4267 0.4267 0.4267
Se: 0.5955 0.5955 0.5955

Results
The crystal system is trigonal. Its energy relative to the elements, uncorrected is -0.9112 eV/atom. The space group is R3m. The value obtained for the total moment is 0.00 μB per formula unit.

Density functional theory data (PBE) for CeCo5P6 after structural relaxation.

Cell: 5.6587 5.6587 6.3969 Å, 100.42 100.42 123.76°
Atoms (fractional coordinates):
Ce: 0.0000 0.0000 0.0000
Co: 0.1280 0.8720 0.5000
Co: 0.3132 0.6868 0.0000
Co: 0.5000 0.5000 0.5000
Co: 0.6868 0.3132 0.0000
Co: 0.8720 0.1280 0.5000
P: 0.0768 0.4702 0.3089
P: 0.3495 0.3495 0.7758
P: 0.4702 0.0768 0.3089
P: 0.5298 0.9232 0.6911
P: 0.6505 0.6505 0.2242
P: 0.9232 0.5298 0.6911

Results
The formation energy from the elements comes out at -0.459 eV per atom. The crystal system is monoclinic. The space group is C2/m. The value obtained for the total moment is 0.00 μB per formula unit.

Density functional theory data (PBE) for BeFe2Re after structural relaxation.

Cell: 8.0134 8.0134 8.0134 Å, 18.85 18.85 18.85°
Atoms (fractional coordinates):
Be: 0.0000 0.0000 0.0000
Fe: 0.2569 0.2569 0.2569
Fe: 0.7431 0.7431 0.7431
Re: 0.5000 0.5000 0.5000

Results
The formation energy from the elements comes out at 0.169 eV per atom. The crystal system is trigonal. The space group is R-3m. The value obtained for the total moment is 2.91 μB per formula unit.

Density functional theory data (PBE) for Er4BeS3 after structural relaxation.

Cell: 6.7915 6.7915 3.8031 Å, 90.00 90.00 108.52°
Atoms (fractional coordinates):
Er: 0.2429 0.2429 0.5000
Er: 0.2441 0.7559 0.0000
Er: 0.7559 0.2441 0.0000
Er: 0.7571 0.7571 0.5000
Be: 0.0000 0.0000 0.0000
S: 0.0000 0.5000 0.5000
S: 0.5000 0.0000 0.5000
S: 0.5000 0.5000 0.0000

Results
The crystal system is orthorhombic. Its energy relative to the elements, uncorrected is -1.4629 eV/atom. The space group is Cmmm. The value obtained for the total moment is 0.00 μB per formula unit.

Density functional theory data (PBE) for LiBi2Pd after structural relaxation.

Cell: 7.0506 7.0506 7.0506 Å, 97.17 97.17 138.61°
Atoms (fractional coordinates):
Li: 0.0000 0.0000 0.0000
Li: 0.7500 0.2500 0.5000
Bi: 0.2342 0.6250 0.1092
Bi: 0.3750 0.4842 0.6092
Bi: 0.5158 0.1250 0.8908
Bi: 0.8750 0.7658 0.3908
Pd: 0.2500 0.7500 0.5000
Pd: 0.5000 0.5000 0.0000

Results
The formation energy from the elements comes out at -0.201 eV per atom. The crystal system is tetragonal. The space group is I-42d. The value obtained for the total moment is 0.00 μB per formula unit.